BaLa2Te | PBE | relaxed

Cell lengths 11.2641, 11.2641, 11.2641 Å; angles 21.84, 21.84, 21.84 degrees
Closest atoms and distances in Å follow each position.
Positions (direct):
Ba: 0.0000 0.0000 0.0000  6 Ba 4.27, 6 La 4.27
La: 0.2277 0.2277 0.2277  3 Te 3.18
La: 0.7723 0.7723 0.7723  3 Te 3.18
Te: 0.5000 0.5000 0.5000  6 La 3.18

Properties
* energy: -4.33 eV per atom
* formation energy (no corrections): -0.601 eV/atom
* magnetization: 0.050 μB/f.u.

BaLaTe2 | PBE | relaxed

Cell lengths 5.2601, 6.7895, 6.7895 Å; angles 37.15, 90.00, 90.00 degrees
Closest atoms and distances in Å follow each position.
Positions (direct):
Ba: 0.0000 0.0000 0.0000  7 Te 3.40-3.73
La: 0.5000 0.7520 0.7520  5 Te 3.26-3.41
Te: 0.0000 0.2640 0.2640  3 Ba 3.40-3.73, 4 La 3.41
Te: 0.5000 0.4989 0.4989  1 La 3.26, 4 Ba 3.41

Properties
* relative energy among the computed polymorphs: 0.195 eV per atom
* energy: -4.75 eV per atom
* formation energy (no corrections): -1.465 eV/atom
* magnetization: 0.001 μB/f.u.

Ba3La3TmTe8 | PBE | relaxed

Cell lengths 9.6803, 9.6803, 9.6803 Å; angles 57.34, 57.34, 57.34 degrees
Closest atoms and distances in Å follow each position.
Positions (direct):
Ba: 0.0000 0.5000 0.5000  6 Te 3.46-3.48
Ba: 0.5000 0.0000 0.5000  6 Te 3.46-3.48
Ba: 0.5000 0.5000 0.0000  6 Te 3.46-3.48
La: 0.0000 0.0000 0.5000  6 Te 3.25-3.26
La: 0.0000 0.5000 0.0000  6 Te 3.25-3.26
La: 0.5000 0.0000 0.0000  6 Te 3.25-3.26
Tm: 0.5000 0.5000 0.5000  6 Te 3.12
Te: 0.2431 0.2431 0.2431  3 La 3.26, 3 Ba 3.46
Te: 0.2518 0.7329 0.7329  1 Tm 3.12, 2 La 3.25, 2 Ba 3.48
Te: 0.2672 0.2671 0.7482  1 Tm 3.12, 2 La 3.25, 2 Ba 3.48
Te: 0.2672 0.7482 0.2672  1 Tm 3.12, 2 La 3.25, 2 Ba 3.48
Te: 0.7329 0.2518 0.7329  1 Tm 3.12, 2 La 3.25, 2 Ba 3.48
Te: 0.7329 0.7329 0.2518  1 Tm 3.12, 2 La 3.25, 2 Ba 3.48
Te: 0.7482 0.2671 0.2671  1 Tm 3.12, 2 La 3.25, 2 Ba 3.48
Te: 0.7569 0.7569 0.7569  3 La 3.26, 3 Ba 3.46

Properties
* energy: -4.96 eV per atom
* formation energy (no corrections): -1.617 eV/atom
* magnetization: 0.000 μB/f.u.

> What is the energy in the third record?

-4.96 eV per atom

What did the second record say?
BaLaTe2 | PBE | relaxed

Cell lengths 5.2601, 6.7895, 6.7895 Å; angles 37.15, 90.00, 90.00 degrees
Closest atoms and distances in Å follow each position.
Positions (direct):
Ba: 0.0000 0.0000 0.0000  7 Te 3.40-3.73
La: 0.5000 0.7520 0.7520  5 Te 3.26-3.41
Te: 0.0000 0.2640 0.2640  3 Ba 3.40-3.73, 4 La 3.41
Te: 0.5000 0.4989 0.4989  1 La 3.26, 4 Ba 3.41

Properties
* relative energy among the computed polymorphs: 0.195 eV per atom
* energy: -4.75 eV per atom
* formation energy (no corrections): -1.465 eV/atom
* magnetization: 0.001 μB/f.u.